# Cr3SnHg PBE-GGA relaxed
data_Cr3SnHg
_cell_length_a 5.265
_cell_length_b 5.265
_cell_length_c 5.265
_cell_angle_alpha 90.00
_cell_angle_beta 90.00
_cell_angle_gamma 90.00
_space_group_name_H-M_alt 'P m -3 m'
_space_group_IT_number 221
_space_group_name_Hall '-P 4 2 3'
loop_
_atom_site_label
_atom_site_fract_x
_atom_site_fract_y
_atom_site_fract_z
_atom_site_occupancy
Cr1 0.000 0.000 0.500 1
Sn1 0.000 0.000 0.000 1
Hg1 0.500 0.500 0.500 1
# ρ   5.41 Mg/m³
# Energy of formation   1.231 eV/atom
# Magnetic moment   13.97 μB per formula unit
# Offset from the most stable computed form   0.00 kJ per mole of atoms
# V   29.19 A^3/atom